Record 1
{
  "formula": "RbCrN2",
  "functional": "PBE",
  "state": "relaxed",
  "lattice": [[3.577, 1.396, 1.988], [0.507, 4.212, 0.833], [-0.211, 1.439, 4.072]],
  "species": ["N", "N", "Cr", "Rb"],
  "frac_coords": [[0.250, 0.250, 0.250], [0.750, 0.750, 0.750], [0.000, 0.000, 0.000], [0.500, 0.500, 0.500]]
}



Record 2
{
  "formula": "MgRe2Br",
  "functional": "PBE",
  "state": "relaxed",
  "lattice": [[3.080, 0.000, 0.000], [0.000, 3.080, 0.000], [0.000, 0.000, 7.712]],
  "species": ["Br", "Re", "Re", "Mg"],
  "frac_coords": [[0.000, 0.000, 0.504], [0.000, 0.000, 0.023], [0.500, 0.500, 0.202], [0.500, 0.500, 0.771]]
}



Record 3
{
  "formula": "CsMgSnSb",
  "functional": "PBE",
  "state": "relaxed",
  "lattice": [[-1.547, 3.296, 2.615], [1.768, -2.019, 3.590], [13.266, 7.890, -2.095]],
  "species": ["Sn", "Sn", "Sb", "Sb", "Mg", "Mg", "Cs", "Cs"],
  "frac_coords": [[0.250, 0.750, 0.500], [0.750, 0.250, 0.500], [0.250, 0.250, 0.117], [0.750, 0.750, 0.883], [0.250, 0.750, 0.000], [0.750, 0.250, 0.000], [0.250, 0.250, 0.742], [0.750, 0.750, 0.258]]
}



Record 4
{
  "formula": "RbZnRhF6",
  "functional": "PBE",
  "state": "relaxed",
  "lattice": [[7.385, 0.000, 0.000], [0.000, 7.391, 0.000], [-3.693, -3.695, 5.355]],
  "species": ["Zn", "Zn", "F", "F", "F", "F", "F", "F", "F", "F", "F", "F", "F", "F", "Rh", "Rh", "Rb", "Rb"],
  "frac_coords": [[0.000, 0.000, 0.500], [0.500, 0.000, 0.500], [0.581, 0.334, 0.757], [0.581, 0.923, 0.757], [0.824, 0.077, 0.243], [0.425, 0.675, 0.850], [0.181, 0.931, 0.362], [0.819, 0.069, 0.638], [0.419, 0.077, 0.243], [0.824, 0.666, 0.243], [0.575, 0.325, 0.150], [0.419, 0.666, 0.243], [0.176, 0.334, 0.757], [0.176, 0.923, 0.757], [0.500, 0.000, 0.000], [0.500, 0.500, 0.000], [0.103, 0.353, 0.207], [0.897, 0.647, 0.793]]
}



Formation energy from raw total energies values, unit eV/atom, following the record order: 1.711 0.254 -0.308 -2.125.
Energy values, unit eV per atom, following the record order: -5.099 -6.786 -2.951 -4.438.